## TiSn2SbH (PBE)

Data for a geometry-optimized TiSn2SbH structure.

a = 5.784 Å, b = 5.784 Å, c = 5.210 Å
α = 90.00°, β = 90.00°, γ = 90.00°
Space group P4/mmm (No. 123)
One atom of each set of equivalent atoms:
Ti (0.000, 0.000, 0.000) [1 per cell]
Sn (0.000, 0.500, 0.500) [2 per cell]
Sb (0.000, 0.000, 0.500) [1 per cell]
H (0.500, 0.500, 0.000) [1 per cell]

* E_tot: -3.438 eV per atom
* ρ: 3888 kg/m³
* D(E_F): 7.6 states/eV/f.u.

## Ac2CrGe3Ir4 (PBE)

Data for a geometry-optimized Ac2CrGe3Ir4 structure.

a = 4.294 Å, b = 4.294 Å, c = 10.648 Å
α = 90.00°, β = 90.00°, γ = 90.00°
Space group P-4m2 (No. 115)
One atom of each set of equivalent atoms:
Ac (0.000, 0.500, 0.249) [2 per cell]
Cr (0.500, 0.500, 0.000) [1 per cell]
Ge (0.000, 0.000, 0.000) [1 per cell]
Ge (0.000, 0.500, 0.627) [2 per cell]
Ir (0.000, 0.000, 0.500) [1 per cell]
Ir (0.000, 0.500, 0.870) [2 per cell]
Ir (0.500, 0.500, 0.500) [1 per cell]

* E_tot: -7.327 eV per atom
* ρ: 12624 kg/m³
* D(E_F): 5.7 states/eV/f.u.
* energy of formation: -0.613 eV per atom

## Cr2ReBr (PBE)

Data for a geometry-optimized Cr2ReBr structure.

a = 2.918 Å, b = 4.407 Å, c = 8.584 Å
α = 90.00°, β = 90.00°, γ = 90.00°
Space group Immm (No. 71)
One atom of each set of equivalent atoms:
Cr (0.000, 0.000, 0.236) [4 per cell]
Re (0.000, 0.500, 0.000) [2 per cell]
Br (0.000, 0.500, 0.500) [2 per cell]

* E_tot: -7.382 eV per atom
* energy relative to the lowest polymorph listed for this composition: 0.587 eV per atom
* formation energy (no corrections): 3.8 eV/f.u.
* ρ: 11133 kg/m³
* D(E_F): 3.9 states/eV/f.u.

## LiSc2Tl (PBE)

Data for a geometry-optimized LiSc2Tl structure.

a = 3.540 Å, b = 3.540 Å, c = 6.991 Å
α = 90.00°, β = 90.00°, γ = 90.00°
Space group P4/mmm (No. 123)
One atom of each set of equivalent atoms:
Li (0.000, 0.000, 0.000) [1 per cell]
Sc (0.500, 0.500, 0.232) [2 per cell]
Tl (0.000, 0.000, 0.500) [1 per cell]

* E_tot: -4.324 eV per atom
* ρ: 5709 kg/m³
* D(E_F): 4.1 states/eV/f.u.
* energy of formation: -0.088 eV per atom

## Na2NiRh (PBE)

Data for a geometry-optimized Na2NiRh structure.

a = 7.760 Å, b = 7.760 Å, c = 4.976 Å
α = 90.00°, β = 90.00°, γ = 90.00°
Space group I-42d (No. 122)
One atom of each set of equivalent atoms:
Na (0.235, 0.750, 0.125) [8 per cell]
Ni (0.000, 0.000, 0.000) [4 per cell]
Rh (0.000, 0.000, 0.500) [4 per cell]

* E_tot: -3.221 eV per atom
* energy relative to the lowest polymorph listed for this composition: 0.000 eV per atom
* ρ: 4601 kg/m³
* D(E_F): 3.5 states/eV/f.u.
* energy of formation: 0.722 eV per atom

## CeHo3Ru2 (PBE)

Data for a geometry-optimized CeHo3Ru2 structure.

a = 9.332 Å, b = 9.925 Å, c = 6.236 Å
α = 90.00°, β = 90.00°, γ = 90.00°
Space group Cmcm (No. 63)
One atom of each set of equivalent atoms:
Ce (0.000, 0.069, 0.250) [4 per cell]
Ho (0.000, 0.437, 0.250) [4 per cell]
Ho (0.180, 0.254, 0.750) [8 per cell]
Ru (0.229, 0.000, 0.000) [8 per cell]

* E_tot: -6.721 eV per atom
* energy relative to the lowest polymorph listed for this composition: 0.003 eV per atom
* ρ: 9626 kg/m³
* D(E_F): 6.6 states/eV/f.u.
* energy of formation: -0.351 eV per atom

no.,total magnetic moment (μB/f.u.)
1,2.15
2,2.61
3,0.00
4,0.36
5,1.37
6,0.00